# 1
## Mg3HgP (GGA-PBE)

Data for Mg3HgP after structural relaxation.

```
Mg3HgP
1.0
4.904 0.000 0.000
0.000 4.904 0.000
0.000 0.000 4.904
Mg Hg P
3 1 1
Direct
0.000 0.000 0.500
0.000 0.500 0.000
0.500 0.000 0.000
0.500 0.500 0.500
0.000 0.000 0.000
```

Output
E: -2.24 eV/atom
space group: Pm-3m, No. 221
energy above the lowest structure with this stoichiometry: 0 meV per atom

=====

# 2
## HfTc3I (GGA-PBE)

Data for HfTc3I after structural relaxation.

```
HfTc3I
1.0
4.922 0.000 0.000
0.000 4.922 0.000
0.000 0.000 4.922
Hf Tc I
1 3 1
Direct
0.000 0.000 0.000
0.000 0.000 0.500
0.000 0.500 0.000
0.500 0.000 0.000
0.500 0.500 0.500
```

Output
E: -6.57 eV/atom
space group: Pm-3m, No. 221
energy above the lowest structure with this stoichiometry: 325 meV per atom
raw formation energy: 1951.7 meV per atom

=====

# 3
## Ba2LiPtBr (GGA-PBE)

Data for Ba2LiPtBr after structural relaxation.

```
Ba2LiPtBr
1.0
6.184 0.000 0.000
0.000 6.184 0.000
0.000 0.000 4.801
Ba Li Pt Br
2 1 1 1
Direct
0.000 0.500 0.000
0.500 0.000 0.000
0.000 0.000 0.500
0.000 0.000 0.000
0.500 0.500 0.500
```

Output
E: -3.53 eV/atom
space group: P4/mmm, No. 123
raw formation energy: -835.5 meV per atom

=====

Number 1: total magnetization 0.00 μB/f.u.. Number 2: total magnetization 5.50 μB/f.u.. Number 3: total magnetization 0.00 μB/f.u..